This record from the Alexandria database describes a relaxed structure of La2FePt. The functional is GGA-PBE.

Cell and atoms, written as CIF:
```
data_La2FePt
_symmetry_space_group_name_H-M 'A m m 2'
_symmetry_Int_Tables_number 38
_cell_length_a 4.259
_cell_length_b 4.148
_cell_length_c 11.277
_cell_angle_alpha 90.00
_cell_angle_beta 90.00
_cell_angle_gamma 90.00
loop_
_symmetry_equiv_pos_as_xyz
'x,y,z'
'-x,-y,z'
'-x,y,z'
'x,-y,z'
'x,y+1/2,z+1/2'
'-x,-y+1/2,z+1/2'
'-x,y+1/2,z+1/2'
'x,-y+1/2,z+1/2'
loop_
_atom_site_label
_atom_site_type_symbol
_atom_site_fract_x
_atom_site_fract_y
_atom_site_fract_z
La1 La 0.000 0.000 0.000
La2 La 0.500 0.000 0.286
Fe1 Fe 0.000 0.000 0.715
Pt1 Pt 0.500 0.000 0.574
```

Output
- ΔE_f (eV per atom) = -0.453


This record from the Alexandria database describes a relaxed structure of Pr6Ho5Mg. The functional is GGA-PBE.

Cell and atoms, written as CIF:
```
data_Pr6Ho5Mg
_symmetry_space_group_name_H-M 'I m m m'
_symmetry_Int_Tables_number 71
_symmetry_space_group_name_Hall '-I 2 2'
_cell_length_a 5.156
_cell_length_b 9.927
_cell_length_c 15.470
_cell_angle_alpha 90.00
_cell_angle_beta 90.00
_cell_angle_gamma 90.00
loop_
_atom_site_label
_atom_site_type_symbol
_atom_site_fract_x
_atom_site_fract_y
_atom_site_fract_z
Pr1 Pr 0.000 0.247 0.000
Pr2 Pr 0.000 0.253 0.333
Ho1 Ho 0.000 0.000 0.170
Ho2 Ho 0.000 0.000 0.500
Ho3 Ho 0.000 0.500 0.164
Mg1 Mg 0.000 0.500 0.500
```

Output
- ΔE_f (eV per atom) = 0.015